Entry from Alexandria: a geometry-optimized PbWO2 structure (PBE with a Hubbard U).

The value obtained for the theoretical density is 9.3 g cm⁻³. For the energy relative to the lowest polymorph listed for this composition, the calculation gives 0.549 eV/atom. For the total energy, the calculation gives -5.947 eV/atom.

a = 5.044 Å, b = 5.044 Å, c = 11.898 Å
α = 90.00°, β = 90.00°, γ = 90.00°
Space group I-42d (No. 122)
Asymmetric unit:
Pb1 0.000 0.000 0.000 [4 per cell]
W1 0.000 0.000 0.500 [4 per cell]
O1 0.096 0.250 0.625 [8 per cell]